*w*
Cd3InHg2 | GGA-PBE | optimized geometry

a = 5.020 Å, b = 13.101 Å, c = 4.470 Å
α = 90.00°, β = 90.00°, γ = 90.00°
Space group Cmmm (No. 65)
Unique sites:
Cd 0.000 0.000 0.000 (multiplicity 2)
Cd 0.000 0.330 0.000 (multiplicity 4)
In 0.000 0.500 0.500 (multiplicity 2)
Hg 0.000 0.165 0.500 (multiplicity 4)

Properties
The value obtained for the density is 9.64 g cm⁻³. The total magnetization comes out at 0.00 μB per formula unit.

=====

*x*
Cd3InHg2 | GGA-PBE | optimized geometry

a = 14.256 Å, b = 4.580 Å, c = 10.122 Å
α = 90.00°, β = 118.10°, γ = 90.00°
Space group C2/m (No. 12)
Unique sites:
Cd 0.043 0.000 0.380 (multiplicity 4)
Cd 0.121 0.500 0.618 (multiplicity 4)
Cd 0.213 0.500 0.384 (multiplicity 4)
In 0.129 0.000 0.120 (multiplicity 4)
Hg 0.032 0.500 0.859 (multiplicity 4)
Hg 0.206 0.000 0.865 (multiplicity 4)

Properties
The value obtained for the density is 9.72 g cm⁻³. The total magnetization comes out at 0.00 μB per formula unit.

=====

Q: Which of them is the least stable? A: *w*.

=====

*w*
Cd4In3Hg5 | GGA-PBE | optimized geometry

a = 6.149 Å, b = 6.336 Å, c = 8.519 Å
α = 77.81°, β = 77.72°, γ = 73.47°
Space group P-1 (No. 2)
Unique sites:
Cd 0.143 0.201 0.343 (multiplicity 2)
Cd 0.279 0.347 0.655 (multiplicity 2)
In 0.245 0.016 0.998 (multiplicity 2)
In 0.500 0.500 0.000 (multiplicity 1)
Hg 0.000 0.500 0.000 (multiplicity 1)
Hg 0.216 0.694 0.333 (multiplicity 2)
Hg 0.350 0.832 0.660 (multiplicity 2)

Properties
The value obtained for the density is 9.72 g cm⁻³. The total magnetization comes out at 0.00 μB per formula unit.

=====

*x*
Cd4In3Hg5 | GGA-PBE | optimized geometry

a = 11.564 Å, b = 5.822 Å, c = 10.570 Å
α = 90.00°, β = 115.80°, γ = 90.00°
Space group C2/m (No. 12)
Unique sites:
Cd 0.145 0.000 0.113 (multiplicity 4)
Cd 0.215 0.000 0.414 (multiplicity 4)
In 0.000 0.500 0.500 (multiplicity 2)
In 0.183 0.500 0.265 (multiplicity 4)
Hg 0.000 0.000 0.500 (multiplicity 2)
Hg 0.092 0.000 0.813 (multiplicity 4)
Hg 0.107 0.500 0.921 (multiplicity 4)

Properties
The value obtained for the density is 9.32 g cm⁻³. The total magnetization comes out at 0.00 μB per formula unit.

=====

Q: Which of them is the least stable? A: *x*.

=====

*w*
CdIn2Hg3 | GGA-PBE | optimized geometry

a = 8.380 Å, b = 3.691 Å, c = 10.146 Å
α = 90.00°, β = 96.03°, γ = 90.00°
Space group P2_1/m (No. 11)
Unique sites:
Cd 0.129 0.250 0.254 (multiplicity 2)
In 0.132 0.250 0.590 (multiplicity 2)
In 0.363 0.750 0.079 (multiplicity 2)
Hg 0.115 0.250 0.909 (multiplicity 2)
Hg 0.369 0.750 0.421 (multiplicity 2)
Hg 0.387 0.750 0.753 (multiplicity 2)

Properties
The value obtained for the density is 10.04 g cm⁻³. The total magnetization comes out at 0.00 μB per formula unit.

=====

*x*
CdIn2Hg3 | GGA-PBE | optimized geometry

a = 5.070 Å, b = 14.570 Å, c = 4.195 Å
α = 90.00°, β = 90.00°, γ = 90.00°
Space group Cmmm (No. 65)
Unique sites:
Cd 0.000 0.000 0.000 (multiplicity 2)
In 0.000 0.335 0.000 (multiplicity 4)
Hg 0.000 0.163 0.500 (multiplicity 4)
Hg 0.000 0.500 0.500 (multiplicity 2)

Properties
The value obtained for the density is 10.12 g cm⁻³. The total magnetization comes out at 0.00 μB per formula unit.

=====

Q: Which of them is the least stable? A: *w*.

=====

*w*
CdIn5Hg | GGA-PBE | optimized geometry

a = 4.583 Å, b = 4.583 Å, c = 9.182 Å
α = 90.00°, β = 90.00°, γ = 90.00°
Space group P4/mmm (No. 123)
Unique sites:
Cd 0.000 0.000 0.000 (multiplicity 1)
In 0.000 0.500 0.228 (multiplicity 4)
In 0.500 0.500 0.500 (multiplicity 1)
Hg 0.000 0.000 0.500 (multiplicity 1)

Properties
The value obtained for the density is 7.64 g cm⁻³. The total magnetization comes out at 0.00 μB per formula unit.

=====

*x*
CdIn5Hg | GGA-PBE | optimized geometry

a = 6.076 Å, b = 6.330 Å, c = 10.236 Å
α = 90.00°, β = 90.00°, γ = 90.00°
Space group Imm2 (No. 44)
Unique sites:
Cd 0.000 0.000 0.000 (multiplicity 2)
In 0.000 0.236 0.656 (multiplicity 4)
In 0.000 0.500 0.399 (multiplicity 2)
In 0.241 0.000 0.368 (multiplicity 4)
Hg 0.000 0.500 0.120 (multiplicity 2)

Properties
The value obtained for the density is 7.48 g cm⁻³. The total magnetization comes out at 0.00 μB per formula unit.

=====

Q: Which of them is the least stable? A: *x*.

=====

*w*
CdIn5Hg3 | GGA-PBE | optimized geometry

a = 9.4608 Å, b = 9.4608 Å, c = 6.1813 Å
α = 90.00°, β = 90.00°, γ = 120.00°
Space group P6_3/mcm (No. 193)
Unique sites:
Cd 0.0000 0.0000 0.0000 (multiplicity 2)
In 0.0000 0.2946 0.2500 (multiplicity 6)
In 0.3333 0.6667 0.0000 (multiplicity 4)
Hg 0.0000 0.3710 0.7500 (multiplicity 6)

Properties
The value obtained for the density is 8.93 g cm⁻³. The total magnetization comes out at 0.00 μB per formula unit.

=====

*x*
CdIn5Hg3 | GGA-PBE | optimized geometry

a = 5.897 Å, b = 6.580 Å, c = 12.909 Å
α = 89.68°, β = 90.00°, γ = 89.92°
Space group P-1 (No. 2)
Unique sites:
Cd 0.000 0.000 0.000 (multiplicity 1)
Cd 0.500 0.000 0.500 (multiplicity 1)
In 0.000 0.500 0.500 (multiplicity 1)
In 0.139 0.766 0.703 (multiplicity 2)
In 0.143 0.235 0.702 (multiplicity 2)
In 0.358 0.765 0.203 (multiplicity 2)
In 0.360 0.234 0.202 (multiplicity 2)
In 0.500 0.500 0.000 (multiplicity 1)
Hg 0.000 0.000 0.500 (multiplicity 1)
Hg 0.051 0.497 0.889 (multiplicity 2)
Hg 0.449 0.495 0.389 (multiplicity 2)
Hg 0.500 0.000 0.000 (multiplicity 1)

Properties
The value obtained for the density is 8.54 g cm⁻³. The total magnetization comes out at 0.00 μB per formula unit.

=====

Q: Which of them is the least stable? A: *x*.

=====

*w*
Cd8In2Hg3 | GGA-PBE | optimized geometry

a = 11.059 Å, b = 11.191 Å, c = 5.445 Å
α = 90.00°, β = 104.93°, γ = 90.00°
Space group C2/m (No. 12)
Unique sites:
Cd 0.070 0.000 0.289 (multiplicity 4)
Cd 0.142 0.500 0.560 (multiplicity 4)
Cd 0.184 0.244 0.199 (multiplicity 8)
In 0.213 0.000 0.870 (multiplicity 4)
Hg 0.000 0.250 0.500 (multiplicity 4)
Hg 0.000 0.500 0.000 (multiplicity 2)

Properties
The value obtained for the density is 8.83 g cm⁻³. The total magnetization comes out at 0.00 μB per formula unit.

=====

*x*
Cd8In2Hg3 | GGA-PBE | optimized geometry

a = 15.371 Å, b = 7.999 Å, c = 5.914 Å
α = 90.00°, β = 110.28°, γ = 90.00°
Space group C2/m (No. 12)
Unique sites:
Cd 0.157 0.185 0.451 (multiplicity 8)
Cd 0.161 0.000 0.988 (multiplicity 4)
Cd 0.176 0.500 0.182 (multiplicity 4)
In 0.105 0.500 0.651 (multiplicity 4)
Hg 0.000 0.000 0.500 (multiplicity 2)
Hg 0.000 0.268 0.000 (multiplicity 4)

Properties
The value obtained for the density is 8.43 g cm⁻³. The total magnetization comes out at 0.00 μB per formula unit.

=====

Q: Which of them is the least stable? A: *x*.

=====

*w*
CdIn4Hg | GGA-PBE | optimized geometry

a = 10.379 Å, b = 4.656 Å, c = 6.908 Å
α = 90.00°, β = 110.12°, γ = 90.00°
Space group C2/m (No. 12)
Unique sites:
Cd 0.000 0.000 0.000 (multiplicity 2)
In 0.162 0.500 0.330 (multiplicity 4)
In 0.169 0.500 0.833 (multiplicity 4)
Hg 0.000 0.000 0.500 (multiplicity 2)

Properties
The value obtained for the density is 8.18 g cm⁻³. The total magnetization comes out at 0.00 μB per formula unit.

=====

*x*
CdIn4Hg | GGA-PBE | optimized geometry

a = 4.771 Å, b = 4.771 Å, c = 7.528 Å
α = 90.00°, β = 90.00°, γ = 90.00°
Space group P4/mmm (No. 123)
Unique sites:
Cd 0.000 0.000 0.000 (multiplicity 1)
In 0.000 0.500 0.250 (multiplicity 4)
Hg 0.500 0.500 0.500 (multiplicity 1)

Properties
The value obtained for the density is 7.48 g cm⁻³. The total magnetization comes out at 0.00 μB per formula unit.

=====

Q: Which of them is the least stable? A: *x*.

=====

*w*
CdIn8Hg5 | GGA-PBE | optimized geometry

a = 9.200 Å, b = 9.200 Å, c = 8.950 Å
α = 90.00°, β = 90.00°, γ = 90.00°
Space group I-4 (No. 82)
Unique sites:
Cd 0.000 0.000 0.000 (multiplicity 2)
In 0.078 0.829 0.708 (multiplicity 8)
In 0.080 0.671 0.045 (multiplicity 8)
Hg 0.000 0.500 0.750 (multiplicity 2)
Hg 0.121 0.750 0.377 (multiplicity 8)

Properties
The value obtained for the density is 8.92 g cm⁻³. The total magnetization comes out at 0.00 μB per formula unit.

=====

*x*
CdIn8Hg5 | GGA-PBE | optimized geometry

a = 10.618 Å, b = 10.618 Å, c = 6.844 Å
α = 90.00°, β = 90.00°, γ = 90.00°
Space group I-4 (No. 82)
Unique sites:
Cd 0.000 0.000 0.000 (multiplicity 2)
In 0.056 0.161 0.635 (multiplicity 8)
In 0.117 0.735 0.975 (multiplicity 8)
Hg 0.000 0.500 0.750 (multiplicity 2)
Hg 0.120 0.640 0.393 (multiplicity 8)

Properties
The value obtained for the density is 8.75 g cm⁻³. The total magnetization comes out at 0.00 μB per formula unit.

=====

Q: Which of them is the least stable? A: *x*.

=====

*w*
Cd7InHg4 | GGA-PBE | optimized geometry

a = 12.405 Å, b = 5.709 Å, c = 10.604 Å
α = 90.00°, β = 123.67°, γ = 90.00°
Space group C2/m (No. 12)
Unique sites:
Cd 0.000 0.000 0.000 (multiplicity 2)
Cd 0.092 0.500 0.443 (multiplicity 4)
Cd 0.195 0.000 0.907 (multiplicity 4)
Cd 0.231 0.000 0.661 (multiplicity 4)
In 0.000 0.500 0.000 (multiplicity 2)
Hg 0.089 0.000 0.329 (multiplicity 4)
Hg 0.192 0.500 0.770 (multiplicity 4)

Properties
The value obtained for the density is 9.06 g cm⁻³. The total magnetization comes out at 0.00 μB per formula unit.

=====

*x*
Cd7InHg4 | GGA-PBE | optimized geometry

a = 3.4942 Å, b = 3.4942 Å, c = 27.6368 Å
α = 90.00°, β = 90.00°, γ = 120.00°
Space group P-3m1 (No. 164)
Unique sites:
Cd 0.0000 0.0000 0.0000 (multiplicity 1)
Cd 0.0000 0.0000 0.2478 (multiplicity 2)
Cd 0.3333 0.6667 0.1655 (multiplicity 2)
Cd 0.3333 0.6667 0.4126 (multiplicity 2)
In 0.0000 0.0000 0.5000 (multiplicity 1)
Hg 0.3333 0.6667 0.6699 (multiplicity 2)
Hg 0.3333 0.6667 0.9171 (multiplicity 2)

Properties
The value obtained for the density is 9.68 g cm⁻³. The total magnetization comes out at 0.00 μB per formula unit.

=====

Q: Which of them is the least stable? A: *w*.

=====

*w*
Cd4In5Hg2 | GGA-PBE | optimized geometry

a = 11.495 Å, b = 6.631 Å, c = 9.160 Å
α = 90.00°, β = 123.13°, γ = 90.00°
Space group C2/m (No. 12)
Unique sites:
Cd 0.222 0.000 0.482 (multiplicity 4)
Cd 0.232 0.000 0.143 (multiplicity 4)
In 0.000 0.500 0.500 (multiplicity 2)
In 0.001 0.263 0.174 (multiplicity 8)
Hg 0.213 0.000 0.791 (multiplicity 4)

Properties
The value obtained for the density is 8.09 g cm⁻³. The total magnetization comes out at 0.00 μB per formula unit.

=====

*x*
Cd4In5Hg2 | GGA-PBE | optimized geometry

a = 21.490 Å, b = 3.197 Å, c = 8.618 Å
α = 90.00°, β = 101.49°, γ = 90.00°
Space group C2/m (No. 12)
Unique sites:
Cd 0.058 0.000 0.231 (multiplicity 4)
Cd 0.163 0.500 0.725 (multiplicity 4)
In 0.000 0.500 0.500 (multiplicity 2)
In 0.186 0.000 0.434 (multiplicity 4)
In 0.194 0.000 0.074 (multiplicity 4)
Hg 0.063 0.500 0.912 (multiplicity 4)

Properties
The value obtained for the density is 8.16 g cm⁻³. The total magnetization comes out at 0.00 μB per formula unit.

=====

Q: Which of them is the least stable? A: *w*.